Record 1
HgBr2O | GGA-PBE | optimized geometry

The value obtained for the energy above the most stable polymorph in this dataset is 8 meV/atom.

The space group is C2/m (No. 12) and the conventional cell measures 15.3353, 4.3648 and 6.5997 Å, with angles of 90.00, 92.27 and 90.00 degrees. The asymmetric unit holds Hg at (0.0000, 0.0000, 0.0000), Hg at (0.0000, 0.5000, 0.5000), Br at (0.1184, 0.0000, 0.2810), Br at (0.1861, 0.5000, 0.7799) and O at (0.0629, 0.5000, 0.7911).

Record 2
HgBr2O | GGA-PBE | optimized geometry

The value obtained for the energy above the most stable polymorph in this dataset is 33 meV/atom.

The space group is P1 (No. 1) and the conventional cell measures 4.8144, 7.2974 and 7.6502 Å, with angles of 109.02, 101.87 and 101.63 degrees. The asymmetric unit holds Hg at (0.0000, 0.0000, 0.0000), Hg at (0.3078, 0.4332, 0.8322), Br at (0.0372, 0.4398, 0.0766), Br at (0.3585, 0.8262, 0.6845), Br at (0.6549, 0.2986, 0.4926), Br at (0.7684, 0.9300, 0.2412), O at (0.2264, 0.0469, 0.8029) and O at (0.5632, 0.5148, 0.6643).

Record 3
Hg7BrO4 | GGA-PBE | optimized geometry

The total energy is -2.16 eV/atom. The density of states at the Fermi level is 3.86 states/eV per cell.

The space group is P2_1 (No. 4) and the conventional cell measures 6.6826, 6.6680 and 14.2024 Å, with angles of 90.00, 98.63 and 90.00 degrees. The asymmetric unit holds Hg at (0.0262, 0.0000, 0.0342), Hg at (0.2098, 0.7688, 0.6444), Hg at (0.2300, 0.1165, 0.4683), Hg at (0.2870, 0.5538, 0.1998), Hg at (0.3075, 0.6349, 0.3847), Hg at (0.4662, 0.6140, 0.7848), Hg at (0.4703, 0.2469, 0.9828), Br at (0.1878, 0.2072, 0.8100), O at (0.0742, 0.3777, 0.4363), O at (0.2722, 0.5056, 0.0414), O at (0.3397, 0.0004, 0.0856) and O at (0.3788, 0.8509, 0.5043).

Record 4
HgBrO3 | GGA-PBE | optimized geometry

The total energy is -3.20 eV/atom. The density of states at the Fermi level is 20.06 states/eV per cell.

The space group is C2/c (No. 15) and the conventional cell measures 10.7774, 10.5042 and 5.3685 Å, with angles of 90.00, 90.15 and 90.00 degrees. The asymmetric unit holds Hg at (0.0000, 0.1220, 0.2500), Hg at (0.0000, 0.3765, 0.7500), Br at (0.2505, 0.1409, 0.7475), O at (0.1179, 0.2507, 0.0026), O at (0.1222, 0.0642, 0.5937) and O at (0.1231, 0.4364, 0.4071).

Record 5
HgBr2O | GGA-PBE | optimized geometry

The value obtained for the energy above the most stable polymorph in this dataset is 31 meV/atom.

The space group is P1 (No. 1) and the conventional cell measures 4.1585, 4.6972 and 6.0829 Å, with angles of 83.89, 85.62 and 76.22 degrees. The asymmetric unit holds Hg at (0.0000, 0.0000, 0.0000), Br at (0.2860, 0.2537, 0.2360), Br at (0.8875, 0.5674, 0.6247) and O at (0.6831, 0.8042, 0.8478).

Record 6
HgBr2O | GGA-PBE | optimized geometry

The value obtained for the energy above the most stable polymorph in this dataset is 426 meV/atom. The density of states at the Fermi level is 6.96 states/eV per cell.

The space group is R-3m (No. 166, hexagonal axes) and the conventional cell measures 4.3026, 4.3026 and 21.7170 Å, with angles of 90.00, 90.00 and 120.00 degrees. The asymmetric unit holds Hg at (0.0000, 0.0000, 0.0000), Br at (0.0000, 0.0000, 0.4063) and O at (0.0000, 0.0000, 0.5000).

Record 7
HgBrO4 | GGA-PBE | optimized geometry

The value obtained for the energy above the most stable polymorph in this dataset is 70 meV/atom. The density of states at the Fermi level is 0.37 states/eV per cell.

The space group is C222_1 (No. 20) and the conventional cell measures 7.0309, 8.8814 and 8.9246 Å, with angles of 90.00, 90.00 and 90.00 degrees. The asymmetric unit holds Hg at (0.0000, 0.2280, 0.2500), Br at (0.1812, 0.0000, 0.0000), O at (0.1064, 0.2062, 0.0362) and O at (0.1893, 0.4684, 0.3477).

Record 8
HgBrO4 | GGA-PBE | optimized geometry

The value obtained for the energy above the most stable polymorph in this dataset is 49 meV/atom. The density of states at the Fermi level is 12.44 states/eV per cell.

The space group is C2/c (No. 15) and the conventional cell measures 11.1344, 5.3387 and 6.4428 Å, with angles of 90.00, 90.11 and 90.00 degrees. The asymmetric unit holds Hg at (0.2500, 0.2500, 0.0000), Br at (0.0000, 0.0642, 0.7500), O at (0.0165, 0.2618, 0.9522) and O at (0.1833, 0.0375, 0.7331).

Record 9
Hg2BrO | GGA-PBE | optimized geometry

The total energy is -1.40 eV/atom. The density of states at the Fermi level is 8.24 states/eV per cell.

The space group is Fm-3m (No. 225) and the conventional cell measures 6.8843, 6.8843 and 6.8843 Å, with angles of 90.00, 90.00 and 90.00 degrees. The asymmetric unit holds Hg at (0.2500, 0.2500, 0.2500), Br at (0.0000, 0.0000, 0.0000) and O at (0.0000, 0.0000, 0.5000).

Record 10
Hg2Br2O7 | GGA-PBE | optimized geometry

The total energy is -3.23 eV/atom.

The space group is C2/m (No. 12) and the conventional cell measures 7.3923, 11.1035 and 4.4222 Å, with angles of 90.00, 104.80 and 90.00 degrees. The asymmetric unit holds Hg at (0.0000, 0.2129, 0.0000), Br at (0.2260, 0.5000, 0.3423), O at (0.0000, 0.5000, 0.5000), O at (0.1243, 0.0000, 0.3035) and O at (0.2290, 0.1610, 0.7725).

Record 11
Hg5Br2O2 | GGA-PBE | optimized geometry

The total energy is -1.88 eV/atom.

The space group is P-1 (No. 2) and the conventional cell measures 6.6242, 6.7475 and 7.3161 Å, with angles of 76.83, 70.97 and 79.07 degrees. The asymmetric unit holds Hg at (0.0000, 0.0000, 0.0000), Hg at (0.2266, 0.0981, 0.5150), Hg at (0.2663, 0.5410, 0.8616), Br at (0.3730, 0.6492, 0.2574) and O at (0.0244, 0.2715, 0.0650).

Record 12
HgBr2O | GGA-PBE | optimized geometry

The value obtained for the energy above the most stable polymorph in this dataset is 0 meV/atom.

The space group is P-1 (No. 2) and the conventional cell measures 4.3774, 6.5637 and 8.8713 Å, with angles of 110.69, 98.39 and 90.07 degrees. The asymmetric unit holds Hg at (0.0000, 0.0000, 0.0000), Hg at (0.5000, 0.5000, 0.0000), Br at (0.0649, 0.8334, 0.2173), Br at (0.3797, 0.5900, 0.6437) and O at (0.4636, 0.7229, 0.8730).

Record 13
HgBrO3 | GGA-PBE | optimized geometry

The total energy is -3.31 eV/atom. The density of states at the Fermi level is 0.00 states/eV per cell.

The space group is P2_1/c (No. 14) and the conventional cell measures 6.8756, 7.5497 and 8.3611 Å, with angles of 90.00, 113.97 and 90.00 degrees. The asymmetric unit holds Hg at (0.0810, 0.0648, 0.3972), Br at (0.3689, 0.5101, 0.6683), O at (0.2353, 0.0199, 0.9542), O at (0.2767, 0.1607, 0.2632) and O at (0.2812, 0.6924, 0.7321).

Record 14
HgBr3O | GGA-PBE | optimized geometry

The value obtained for the energy above the most stable polymorph in this dataset is 0 meV/atom. The density of states at the Fermi level is 2.60 states/eV per cell.

The space group is Pm-3m (No. 221) and the conventional cell measures 4.8410, 4.8410 and 4.8410 Å, with angles of 90.00, 90.00 and 90.00 degrees. The asymmetric unit holds Hg at (0.0000, 0.0000, 0.0000), Br at (0.0000, 0.5000, 0.5000) and O at (0.5000, 0.5000, 0.5000).

Record 15
HgBrO3 | GGA-PBE | optimized geometry

The total energy is -2.40 eV/atom. The density of states at the Fermi level is 6.44 states/eV per cell.

The space group is Pm-3m (No. 221) and the conventional cell measures 4.1753, 4.1753 and 4.1753 Å, with angles of 90.00, 90.00 and 90.00 degrees. The asymmetric unit holds Hg at (0.0000, 0.0000, 0.0000), Br at (0.5000, 0.5000, 0.5000) and O at (0.0000, 0.0000, 0.5000).

Record 16
Hg4Br2O | GGA-PBE | optimized geometry

The total energy is -1.40 eV/atom. The density of states at the Fermi level is 7.60 states/eV per cell.

The space group is I4/mmm (No. 139) and the conventional cell measures 4.5414, 4.5414 and 19.1461 Å, with angles of 90.00, 90.00 and 90.00 degrees. The asymmetric unit holds Hg at (0.0000, 0.0000, 0.1734), Hg at (0.0000, 0.5000, 0.0000), Br at (0.0000, 0.0000, 0.3461) and O at (0.0000, 0.0000, 0.0000).

Record 17
HgBrO | GGA-PBE | optimized geometry

The total energy is -2.19 eV/atom. The density of states at the Fermi level is 2.81 states/eV per cell.

The space group is P3m1 (No. 156) and the conventional cell measures 3.7699, 3.7699 and 5.0815 Å, with angles of 90.00, 90.00 and 120.00 degrees. The asymmetric unit holds Hg at (0.0000, 0.0000, 0.0000), Br at (0.6667, 0.3333, 0.3796) and O at (0.3333, 0.6667, 0.8544).

Record 18
HgBrO4 | GGA-PBE | optimized geometry

The value obtained for the energy above the most stable polymorph in this dataset is 0 meV/atom. The density of states at the Fermi level is 9.07 states/eV per cell.

The space group is Pbcm (No. 57) and the conventional cell measures 4.7794, 12.0855 and 7.2247 Å, with angles of 90.00, 90.00 and 90.00 degrees. The asymmetric unit holds Hg at (0.1094, 0.2500, 0.0000), Br at (0.4827, 0.0501, 0.2500), O at (0.0992, 0.1703, 0.7500), O at (0.1319, 0.0569, 0.2500) and O at (0.4289, 0.6268, 0.0624).

Record 19
HgOsBrO4 | GGA-PBE | optimized geometry

The total energy is -5.40 eV/atom. The density of states at the Fermi level is 0.40 states/eV per cell.

The space group is C2/m (No. 12) and the conventional cell measures 9.8333, 8.8598 and 8.6667 Å, with angles of 90.00, 101.59 and 90.00 degrees. The asymmetric unit holds Hg at (0.1920, 0.0000, 0.0386), Os at (0.1020, 0.5000, 0.2425), Br at (0.0156, 0.0000, 0.2363), O at (0.0786, 0.5000, 0.7750), O at (0.1564, 0.3500, 0.1359) and O at (0.1931, 0.5000, 0.4342).

Record 20
HgPBrO2 | GGA-PBE | optimized geometry

The value obtained for the energy above the most stable polymorph in this dataset is 0 meV/atom. The density of states at the Fermi level is 2.31 states/eV per cell.

The space group is P4/mmm (No. 123) and the conventional cell measures 3.8713, 3.8713 and 5.4808 Å, with angles of 90.00, 90.00 and 90.00 degrees. The asymmetric unit holds Hg at (0.0000, 0.0000, 0.0000), P at (0.5000, 0.5000, 0.0000), Br at (0.5000, 0.5000, 0.5000) and O at (0.0000, 0.5000, 0.5000).

Record 21
HgPBrO2 | GGA-PBE | optimized geometry

The value obtained for the energy above the most stable polymorph in this dataset is 148 meV/atom. The density of states at the Fermi level is 4.62 states/eV per cell.

The space group is P4/mmm (No. 123) and the conventional cell measures 4.1034, 4.1034 and 5.7143 Å, with angles of 90.00, 90.00 and 90.00 degrees. The asymmetric unit holds Hg at (0.0000, 0.0000, 0.0000), P at (0.0000, 0.0000, 0.5000), Br at (0.5000, 0.5000, 0.5000) and O at (0.0000, 0.5000, 0.0000).

Record 22
HgPbBr2O | GGA-PBE | optimized geometry

The total energy is -3.07 eV/atom.

The space group is Cmcm (No. 63) and the conventional cell measures 3.9131, 14.4708 and 9.4199 Å, with angles of 90.00, 90.00 and 90.00 degrees. The asymmetric unit holds Hg at (0.0000, 0.0000, 0.0000), Pb at (0.0000, 0.3363, 0.2500), Br at (0.0000, 0.3653, 0.5671) and O at (0.0000, 0.0718, 0.7500).